This record from the Alexandria database describes a relaxed structure of ZnPb. The functional is PBE-GGA.

Cell: 4.267 10.673 6.780 Å, 90.00 90.00 90.00°
Fractional coordinates of all 12 atoms:
1 Zn 0.250 0.038 0.107
2 Zn 0.250 0.250 0.292
3 Zn 0.250 0.462 0.107
4 Zn 0.750 0.538 0.893
5 Zn 0.750 0.750 0.708
6 Zn 0.750 0.962 0.893
7 Pb 0.250 0.087 0.644
8 Pb 0.250 0.413 0.644
9 Pb 0.250 0.750 0.023
10 Pb 0.750 0.250 0.977
11 Pb 0.750 0.587 0.356
12 Pb 0.750 0.913 0.356

The total magnetization is 0.00 μB/f.u. As for the final energy: -2.331 eV per atom. As for the calculated volume: 25.73 A^3/atom. As for the formation enthalpy at 0 K: 0.16 eV/atom.

=====

This record from the Alexandria database describes a relaxed structure of ZnPb3. The functional is PBE-GGA.

Cell: 6.376 6.376 6.376 Å, 146.62 127.10 64.01°
Fractional coordinates of all 4 atoms:
1 Zn 0.000 0.000 0.000
2 Pb 0.218 0.718 0.500
3 Pb 0.500 0.500 0.000
4 Pb 0.782 0.282 0.500

The total magnetization is 0.00 μB/f.u. As for the final energy: -2.990 eV per atom. As for the calculated volume: 28.12 A^3/atom. As for the formation enthalpy at 0 K: 0.11 eV/atom.

=====

This record from the Alexandria database describes a relaxed structure of ZnPb. The functional is PBE-GGA.

Cell: 5.903 6.025 10.902 Å, 90.00 90.00 90.00°
Fractional coordinates of all 16 atoms:
1 Zn 0.139 0.135 0.482
2 Zn 0.144 0.602 0.836
3 Zn 0.356 0.398 0.336
4 Zn 0.361 0.865 0.982
5 Zn 0.639 0.365 0.518
6 Zn 0.644 0.898 0.164
7 Zn 0.856 0.102 0.664
8 Zn 0.861 0.635 0.018
9 Pb 0.125 0.640 0.562
10 Pb 0.148 0.854 0.241
11 Pb 0.352 0.146 0.741
12 Pb 0.375 0.360 0.062
13 Pb 0.625 0.860 0.438
14 Pb 0.648 0.646 0.759
15 Pb 0.852 0.354 0.259
16 Pb 0.875 0.140 0.938

The total magnetization is 0.00 μB/f.u. As for the final energy: -2.374 eV per atom. As for the calculated volume: 24.23 A^3/atom. As for the formation enthalpy at 0 K: 0.12 eV/atom.

=====

This record from the Alexandria database describes a relaxed structure of Zn3Pb. The functional is PBE-GGA.

Cell: 3.458 4.098 5.889 Å, 90.00 90.00 90.00°
Fractional coordinates of all 4 atoms:
1 Zn 0.000 0.000 0.000
2 Zn 0.000 0.500 0.292
3 Zn 0.500 0.500 0.945
4 Pb 0.500 0.000 0.544

The total magnetization is 0.00 μB/f.u. As for the final energy: -1.736 eV per atom. As for the calculated volume: 20.86 A^3/atom. As for the formation enthalpy at 0 K: 0.15 eV/atom.

=====

This record from the Alexandria database describes a relaxed structure of ZnPb. The functional is PBE-GGA.

Cell: 7.792 7.792 7.792 Å, 92.92 92.92 153.90°
Fractional coordinates of all 8 atoms:
1 Zn 0.082 0.393 0.475
2 Zn 0.393 0.918 0.310
3 Zn 0.607 0.082 0.690
4 Zn 0.918 0.607 0.525
5 Pb 0.125 0.814 0.939
6 Pb 0.186 0.125 0.311
7 Pb 0.814 0.875 0.689
8 Pb 0.875 0.186 0.061

The total magnetization is 0.00 μB/f.u. As for the final energy: -2.371 eV per atom. As for the calculated volume: 25.35 A^3/atom. As for the formation enthalpy at 0 K: 0.12 eV/atom.

=====

This record from the Alexandria database describes a relaxed structure of ZnPb. The functional is PBE-GGA.

Cell: 7.041 7.041 7.041 Å, 97.31 97.31 138.21°
Fractional coordinates of all 8 atoms:
1 Zn 0.064 0.181 0.245
2 Zn 0.181 0.936 0.117
3 Zn 0.819 0.064 0.883
4 Zn 0.936 0.819 0.755
5 Pb 0.172 0.615 0.787
6 Pb 0.385 0.172 0.557
7 Pb 0.615 0.828 0.443
8 Pb 0.828 0.385 0.213

The total magnetization is 0.00 μB/f.u. As for the final energy: -2.307 eV per atom. As for the calculated volume: 27.17 A^3/atom. As for the formation enthalpy at 0 K: 0.18 eV/atom.

=====

This record from the Alexandria database describes a relaxed structure of ZnPb. The functional is PBE-GGA.

Cell: 6.646 6.646 6.646 Å, 38.36 38.36 38.36°
Fractional coordinates of all 4 atoms:
1 Zn 0.174 0.174 0.174
2 Zn 0.826 0.826 0.826
3 Pb 0.401 0.401 0.401
4 Pb 0.599 0.599 0.599

The total magnetization is 0.00 μB/f.u. As for the final energy: -2.377 eV per atom. As for the calculated volume: 25.39 A^3/atom. As for the formation enthalpy at 0 K: 0.11 eV/atom.

=====

This record from the Alexandria database describes a relaxed structure of ZnPb3. The functional is PBE-GGA.

Cell: 3.352 3.488 9.936 Å, 90.00 90.00 90.00°
Fractional coordinates of all 4 atoms:
1 Zn 0.000 0.000 0.000
2 Pb 0.000 0.500 0.244
3 Pb 0.500 0.000 0.507
4 Pb 0.500 0.500 0.806

The total magnetization is 0.00 μB/f.u. As for the final energy: -2.971 eV per atom. As for the calculated volume: 29.04 A^3/atom. As for the formation enthalpy at 0 K: 0.13 eV/atom.